## NpAuS2 (PBE)

Data for crystalline NpAuS2 at its relaxed geometry.

Lattice parameters (Å, degrees): 4.1666 4.1666 21.9960 90.00 90.00 120.00
Space group R-3m (No. 166, hexagonal axes)
Symmetry-distinct sites (fractional):
Np  0.0000  0.0000  0.0000 x3
Au  0.0000  0.0000  0.5000 x3
S  0.0000  0.0000  0.3950 x6

The calculation puts the total energy at -6.954 eV/atom. The calculation puts the uncorrected formation energy at -0.84 eV per atom.